# 1
First-principles (PBE-GGA) data for crystalline La10NdHo4 at its relaxed geometry, as listed in Alexandria via LeMat-Bulk.

Geometry as CIF:
```
data_La10NdHo4
_chemical_formula_sum 'La20 Nd2 Ho8'
_space_group_name_H-M_alt 'I 4/m m m'
_space_group_IT_number 139
_space_group_name_Hall '-I 4 2'
_cell_length_a 11.602
_cell_length_b 11.602
_cell_length_c 7.949
_cell_angle_alpha 90.00
_cell_angle_beta 90.00
_cell_angle_gamma 90.00
loop_
_atom_site_label
_atom_site_fract_x
_atom_site_fract_y
_atom_site_fract_z
_atom_site_occupancy
La1 0.000 0.218 0.210 1
La2 0.000 0.500 0.250 1
Nd1 0.000 0.000 0.500 1
Ho1 0.230 0.230 0.500 1
```

***

# 2
First-principles (PBE-GGA) data for crystalline La2Nd2Ho5 at its relaxed geometry, as listed in Alexandria via LeMat-Bulk.

Results
The polymorph energy (0 for the lowest one) is 0.462 eV per formula unit.

Geometry as CIF:
```
data_La2Nd2Ho5
_chemical_formula_sum 'La8 Nd8 Ho20'
_space_group_name_H-M_alt 'I m a 2'
_space_group_IT_number 46
_cell_length_a 15.069
_cell_length_b 12.014
_cell_length_c 6.765
_cell_angle_alpha 90.00
_cell_angle_beta 90.00
_cell_angle_gamma 90.00
loop_
_space_group_symop_operation_xyz
'x,y,z'
'-x,-y,z'
'-x+1/2,y,z'
'x+1/2,-y,z'
'x+1/2,y+1/2,z+1/2'
'-x+1/2,-y+1/2,z+1/2'
'-x,y+1/2,z+1/2'
'x,-y+1/2,z+1/2'
loop_
_atom_site_label
_atom_site_fract_x
_atom_site_fract_y
_atom_site_fract_z
_atom_site_occupancy
La1 0.127 0.002 0.000 1
Nd1 0.000 0.000 0.541 1
Nd2 0.250 0.007 0.458 1
Ho1 0.053 0.745 0.859 1
Ho2 0.143 0.232 0.670 1
Ho3 0.250 0.740 0.649 1
```

***

# 3
First-principles (PBE-GGA) data for crystalline La2Nd3Ho3 at its relaxed geometry, as listed in Alexandria via LeMat-Bulk.

Results
The polymorph energy (0 for the lowest one) is 0.000 eV per formula unit.

Geometry as CIF:
```
data_La2Nd3Ho3
_chemical_formula_sum 'La4 Nd6 Ho6'
_space_group_name_H-M_alt 'I m m m'
_space_group_IT_number 71
_space_group_name_Hall '-I 2 2'
_cell_length_a 5.141
_cell_length_b 5.168
_cell_length_c 20.534
_cell_angle_alpha 90.00
_cell_angle_beta 90.00
_cell_angle_gamma 90.00
loop_
_atom_site_label
_atom_site_fract_x
_atom_site_fract_y
_atom_site_fract_z
_atom_site_occupancy
La1 0.000 0.000 0.250 1
Nd1 0.000 0.000 0.000 1
Nd2 0.000 0.500 0.122 1
Ho1 0.000 0.000 0.500 1
Ho2 0.000 0.500 0.377 1
```

***

# 4
First-principles (PBE-GGA) data for crystalline La6NdHo12 at its relaxed geometry, as listed in Alexandria via LeMat-Bulk.

Results
The polymorph energy (0 for the lowest one) is 0.877 eV per formula unit.

Geometry as CIF:
```
data_La6NdHo12
_chemical_formula_sum 'La18 Nd3 Ho36'
_space_group_name_H-M_alt 'R -3 m'
_space_group_IT_number 166
_space_group_name_Hall '-R 3 2"'
_cell_length_a 13.3620
_cell_length_b 13.3620
_cell_length_c 12.7317
_cell_angle_alpha 90.00
_cell_angle_beta 90.00
_cell_angle_gamma 120.00
loop_
_atom_site_label
_atom_site_fract_x
_atom_site_fract_y
_atom_site_fract_z
_atom_site_occupancy
La1 0.0374 0.5187 0.1154 1
Nd1 0.0000 0.0000 0.5000 1
Ho1 0.0000 0.2539 0.0000 1
Ho2 0.0919 0.1837 0.7635 1
```

***

# 5
First-principles (PBE-GGA) data for crystalline La4Nd6Ho at its relaxed geometry, as listed in Alexandria via LeMat-Bulk.

Results
The polymorph energy (0 for the lowest one) is 0.000 eV per formula unit.

Geometry as CIF:
```
data_La4Nd6Ho
_chemical_formula_sum 'La8 Nd12 Ho2'
_space_group_name_H-M_alt 'I -4 2 m'
_space_group_IT_number 121
_space_group_name_Hall 'I -4 2'
_cell_length_a 6.809
_cell_length_b 6.809
_cell_length_c 17.010
_cell_angle_alpha 90.00
_cell_angle_beta 90.00
_cell_angle_gamma 90.00
loop_
_atom_site_label
_atom_site_fract_x
_atom_site_fract_y
_atom_site_fract_z
_atom_site_occupancy
La1 0.161 0.161 0.377 1
Nd1 0.000 0.500 0.000 1
Nd2 0.184 0.184 0.180 1
Ho1 0.000 0.000 0.000 1
```

***

# 6
First-principles (PBE-GGA) data for crystalline LaNdHo2 at its relaxed geometry, as listed in Alexandria via LeMat-Bulk.

Results
The polymorph energy (0 for the lowest one) is 0.000 eV per formula unit.

Geometry as CIF:
```
data_LaNdHo2
_chemical_formula_sum 'La3 Nd3 Ho6'
_space_group_name_H-M_alt 'R -3 m'
_space_group_IT_number 166
_space_group_name_Hall '-R 3 2"'
_cell_length_a 3.6302
_cell_length_b 3.6302
_cell_length_c 35.0374
_cell_angle_alpha 90.00
_cell_angle_beta 90.00
_cell_angle_gamma 120.00
loop_
_atom_site_label
_atom_site_fract_x
_atom_site_fract_y
_atom_site_fract_z
_atom_site_occupancy
La1 0.0000 0.0000 0.0000 1
Nd1 0.0000 0.0000 0.5000 1
Ho1 0.0000 0.0000 0.2493 1
```

***

# 7
First-principles (PBE-GGA) data for crystalline LaNd4Ho15 at its relaxed geometry, as listed in Alexandria via LeMat-Bulk.

Geometry as CIF:
```
data_LaNd4Ho15
_chemical_formula_sum 'La1 Nd4 Ho15'
_space_group_name_H-M_alt 'P 4/m m m'
_space_group_IT_number 123
_space_group_name_Hall '-P 4 2'
_cell_length_a 5.056
_cell_length_b 5.056
_cell_length_c 25.130
_cell_angle_alpha 90.00
_cell_angle_beta 90.00
_cell_angle_gamma 90.00
loop_
_atom_site_label
_atom_site_fract_x
_atom_site_fract_y
_atom_site_fract_z
_atom_site_occupancy
La1 0.000 0.000 0.000 1
Nd1 0.000 0.000 0.200 1
Nd2 0.000 0.000 0.400 1
Ho1 0.000 0.500 0.101 1
Ho2 0.000 0.500 0.300 1
Ho3 0.000 0.500 0.500 1
Ho4 0.500 0.500 0.000 1
Ho5 0.500 0.500 0.201 1
Ho6 0.500 0.500 0.400 1
```

***

# 8
First-principles (PBE-GGA) data for crystalline LaNd4Ho10 at its relaxed geometry, as listed in Alexandria via LeMat-Bulk.

Geometry as CIF:
```
data_LaNd4Ho10
_chemical_formula_sum 'La2 Nd8 Ho20'
_space_group_name_H-M_alt 'I 4/m'
_space_group_IT_number 87
_space_group_name_Hall '-I 4'
_cell_length_a 9.855
_cell_length_b 9.855
_cell_length_c 10.815
_cell_angle_alpha 90.00
_cell_angle_beta 90.00
_cell_angle_gamma 90.00
loop_
_atom_site_label
_atom_site_fract_x
_atom_site_fract_y
_atom_site_fract_z
_atom_site_occupancy
La1 0.000 0.000 0.000 1
Nd1 0.050 0.285 0.500 1
Ho1 0.000 0.500 0.250 1
Ho2 0.124 0.216 0.170 1
```

***

# 9
First-principles (PBE-GGA) data for crystalline LaNd5Ho2 at its relaxed geometry, as listed in Alexandria via LeMat-Bulk.

Results
The polymorph energy (0 for the lowest one) is 0.000 eV per formula unit.

Geometry as CIF:
```
data_LaNd5Ho2
_chemical_formula_sum 'La2 Nd10 Ho4'
_space_group_name_H-M_alt 'P b a m'
_space_group_IT_number 55
_cell_length_a 7.303
_cell_length_b 14.610
_cell_length_c 5.150
_cell_angle_alpha 90.00
_cell_angle_beta 90.00
_cell_angle_gamma 90.00
loop_
_space_group_symop_operation_xyz
'x,y,z'
'-x,-y,-z'
'-x,-y,z'
'x,y,-z'
'x+1/2,-y+1/2,-z'
'-x+1/2,y+1/2,z'
'-x+1/2,y+1/2,-z'
'x+1/2,-y+1/2,z'
loop_
_atom_site_label
_atom_site_fract_x
_atom_site_fract_y
_atom_site_fract_z
_atom_site_occupancy
La1 0.000 0.000 0.000 1
Nd1 0.000 0.500 0.000 1
Nd2 0.001 0.251 0.000 1
Nd3 0.249 0.625 0.500 1
Ho1 0.249 0.874 0.500 1
```

***

Number 1: magnetic moment 0.00 μB/f.u., DFT formation energy 20 kJ/mol of atoms. Number 2: magnetic moment 0.00 μB/f.u., DFT formation energy 19 kJ/mol of atoms. Number 3: magnetic moment 0.00 μB/f.u., DFT formation energy 2 kJ/mol of atoms. Number 4: magnetic moment 0.00 μB/f.u., DFT formation energy 21 kJ/mol of atoms. Number 5: magnetic moment 0.00 μB/f.u., DFT formation energy 24 kJ/mol of atoms. Number 6: magnetic moment 0.00 μB/f.u., DFT formation energy 1 kJ/mol of atoms. Number 7: magnetic moment 0.00 μB/f.u., DFT formation energy 2 kJ/mol of atoms. Number 8: magnetic moment 0.00 μB/f.u., DFT formation energy 43 kJ/mol of atoms. Number 9: magnetic moment 0.00 μB/f.u., DFT formation energy 1 kJ/mol of atoms.